Density functional theory data (PBE+U) for crystalline K3MnAs2O8 at its relaxed geometry.

Unit cell a=5.741 b=5.741 c=7.646 alpha=90.00 beta=90.00 gamma=120.00
Positions (direct):
K (0.333, 0.667, 0.701)
Mn (0.000, 0.000, 0.500)
As (0.333, 0.667, 0.260)
O (0.336, 0.168, 0.667)
O (0.168, 0.832, 0.333)
O (0.832, 0.664, 0.667)
O (0.664, 0.832, 0.333)
O (0.333, 0.667, 0.040)
K (0.000, 0.000, 0.000)
O (0.667, 0.333, 0.960)
K (0.667, 0.333, 0.299)
O (0.168, 0.336, 0.333)
O (0.832, 0.168, 0.667)
As (0.667, 0.333, 0.740)

Output
For the spin magnetization, the calculation gives 3.999 μB per formula unit. As for the space group: P-3m1 (164). As for the total energy: -5.810 eV/atom.